A relaxed structure of LaPAu, computed with PBE.

POSCAR file:
```
LaPAu
1.0
4.163 0.000 0.000
0.000 7.348 0.000
0.000 0.000 9.463
La P Au
4 4 4
Direct
0.250 0.329 0.149
0.750 0.671 0.851
0.750 0.171 0.649
0.250 0.829 0.351
0.250 0.872 0.663
0.750 0.128 0.337
0.750 0.628 0.163
0.250 0.372 0.837
0.250 0.531 0.601
0.750 0.469 0.399
0.750 0.969 0.101
0.250 0.031 0.899
```

Values from the calculation:
ΔH_f (0 K) = -1028 meV/atom
SG = Pnma
Crystal system = orthorhombic
Fermi-level density of states = 0.506 states/eV/atom
Total DFT energy (no corrections) = -5.57 eV/atom